1.
This record from Alexandria via LeMat-Bulk describes a relaxed structure of CaPm6Te8. The functional is PBE.

* uncorrected energy: -0.1904 hartree per atom
* energy relative to the elements, uncorrected: -1.4719 eV/atom
* M_tot: 0.0 μB/f.u.

Cell and atoms, written as CIF:
```
data_CaPm6Te8
_chemical_formula_sum 'Ca4 Pm24 Te32'
_space_group_name_H-M_alt 'F m -3 m'
_space_group_IT_number 225
_space_group_name_Hall '-F 4 2 3'
_cell_length_a 12.6101
_cell_length_b 12.6101
_cell_length_c 12.6101
_cell_angle_alpha 90.00
_cell_angle_beta 90.00
_cell_angle_gamma 90.00
loop_
_atom_site_label
_atom_site_type_symbol
_atom_site_fract_x
_atom_site_fract_y
_atom_site_fract_z
Ca1 Ca 0.0000 0.0000 0.0000
Pm1 Pm 0.0000 0.2500 0.2500
Te1 Te 0.0000 0.0000 0.2536
Te2 Te 0.2500 0.2500 0.2500
```

---

2.
This record from Alexandria via LeMat-Bulk describes a relaxed structure of CaPm2ThTe4. The functional is PBE.

* uncorrected energy: -0.1939 hartree per atom
* energy relative to the elements, uncorrected: -1.3390 eV/atom
* M_tot: 0.0 μB/f.u.

Cell and atoms, written as CIF:
```
data_CaPm2ThTe4
_chemical_formula_sum 'Ca1 Pm2 Th1 Te4'
_space_group_name_H-M_alt 'P 1 2/m 1'
_space_group_IT_number 10
_space_group_name_Hall '-P 2y'
_cell_length_a 7.6497
_cell_length_b 4.4110
_cell_length_c 7.9058
_cell_angle_alpha 90.00
_cell_angle_beta 108.74
_cell_angle_gamma 90.00
loop_
_atom_site_label
_atom_site_type_symbol
_atom_site_fract_x
_atom_site_fract_y
_atom_site_fract_z
Ca1 Ca 0.0000 0.0000 0.0000
Pm1 Pm 0.5000 0.0000 0.5000
Pm2 Pm 0.5000 0.5000 0.0000
Th1 Th 0.0000 0.5000 0.5000
Te1 Te 0.2468 0.5000 0.2458
Te2 Te 0.2495 0.0000 0.7541
```

---

3.
This record from Alexandria via LeMat-Bulk describes a relaxed structure of Ca3Pm2ThTe6. The functional is PBE.

* uncorrected energy: -0.1802 hartree per atom
* energy relative to the elements, uncorrected: -1.4223 eV/atom
* M_tot: 0.0 μB/f.u.

Cell and atoms, written as CIF:
```
data_Ca3Pm2ThTe6
_chemical_formula_sum 'Ca6 Pm4 Th2 Te12'
_space_group_name_H-M_alt 'C 1 2/m 1'
_space_group_IT_number 12
_space_group_name_Hall '-C 2y'
_cell_length_a 19.7848
_cell_length_b 4.4005
_cell_length_c 9.1119
_cell_angle_alpha 90.00
_cell_angle_beta 106.00
_cell_angle_gamma 90.00
loop_
_atom_site_label
_atom_site_type_symbol
_atom_site_fract_x
_atom_site_fract_y
_atom_site_fract_z
Ca1 Ca 0.0000 0.0000 0.0000
Ca2 Ca 0.1675 0.5000 0.3266
Pm1 Pm 0.1611 0.5000 0.8196
Th1 Th 0.0000 0.0000 0.5000
Te1 Te 0.0036 0.5000 0.2465
Te2 Te 0.1684 0.0000 0.0785
Te3 Te 0.1681 0.0000 0.5743
```

---

Q: Among the records above, which one has the lowest energy relative to the elements, uncorrected?
A: CaPm6Te8

---

Q: Which of these has the highest uncorrected energy?
A: Ca3Pm2ThTe6